[1]
## Ta2InIr (PBE)

Data for a relaxed structure of Ta2InIr.

Cell: 2.948 2.948 8.269 Å, 90.00 90.00 90.00°
Space group P4mm (No. 99)
One atom of each set of equivalent atoms:
Ta1 0.000 0.000 0.000 [1 per cell]
Ta2 0.500 0.500 0.268 [1 per cell]
In1 0.000 0.000 0.543 [1 per cell]
Ir1 0.500 0.500 0.784 [1 per cell]


[2]
## TaInIr2 (PBE)

Data for a relaxed structure of TaInIr2.

Cell: 3.922 3.922 8.651 Å, 90.00 90.00 90.00°
Space group I-4m2 (No. 119)
One atom of each set of equivalent atoms:
Ta1 0.000 0.000 0.000 [2 per cell]
In1 0.000 0.500 0.250 [2 per cell]
Ir1 0.000 0.000 0.500 [2 per cell]
Ir2 0.000 0.500 0.750 [2 per cell]


[3]
## Ta2InIr (PBE)

Data for a relaxed structure of Ta2InIr.

Cell: 4.037 4.037 8.646 Å, 90.00 90.00 90.00°
Space group I4/mmm (No. 139)
One atom of each set of equivalent atoms:
Ta1 0.000 0.500 0.250 [4 per cell]
In1 0.000 0.000 0.000 [2 per cell]
Ir1 0.000 0.000 0.500 [2 per cell]


[4]
## Ta4InIr (PBE)

Data for a relaxed structure of Ta4InIr.

Cell: 7.660 7.660 7.660 Å, 90.00 90.00 90.00°
Space group F-43m (No. 216)
One atom of each set of equivalent atoms:
Ta1 0.124 0.124 0.124 [16 per cell]
In1 0.250 0.250 0.750 [4 per cell]
Ir1 0.000 0.000 0.500 [4 per cell]


[5]
## Ta2InIr (PBE)

Data for a relaxed structure of Ta2InIr.

Cell: 10.080 3.009 4.986 Å, 90.00 107.23 90.00°
Space group Cm (No. 8)
One atom of each set of equivalent atoms:
Ta1 0.000 0.000 0.000 [2 per cell]
Ta2 0.246 0.500 0.236 [2 per cell]
In1 0.225 0.000 0.720 [2 per cell]
Ir1 0.470 0.000 0.459 [2 per cell]


[6]
## TaInIr2 (PBE)

Data for a relaxed structure of TaInIr2.

Cell: 6.009 7.441 2.977 Å, 90.00 90.00 90.00°
Space group Cmmm (No. 65)
One atom of each set of equivalent atoms:
Ta1 0.000 0.000 0.000 [2 per cell]
In1 0.000 0.500 0.000 [2 per cell]
Ir1 0.250 0.250 0.500 [4 per cell]


[7]
## Ta2InIr (PBE)

Data for a relaxed structure of Ta2InIr.

Cell: 2.9437 2.9437 28.7660 Å, 90.00 90.00 120.00°
Space group R-3m (No. 166, hexagonal axes)
One atom of each set of equivalent atoms:
Ta1 0.0000 0.0000 0.2444 [6 per cell]
In1 0.0000 0.0000 0.0000 [3 per cell]
Ir1 0.0000 0.0000 0.5000 [3 per cell]


[8]
## Ta2InIr (PBE)

Data for a relaxed structure of Ta2InIr.

Cell: 3.0207 3.0207 27.8767 Å, 90.00 90.00 120.00°
Space group R3m (No. 160, hexagonal axes)
One atom of each set of equivalent atoms:
Ta1 0.0000 0.0000 0.0000 [3 per cell]
Ta2 0.0000 0.0000 0.2484 [3 per cell]
In1 0.0000 0.0000 0.4919 [3 per cell]
Ir1 0.0000 0.0000 0.7404 [3 per cell]


[9]
## TaInIr2 (PBE)

Data for a relaxed structure of TaInIr2.

Cell: 2.9089 2.9089 27.7246 Å, 90.00 90.00 120.00°
Space group R3m (No. 160, hexagonal axes)
One atom of each set of equivalent atoms:
Ta1 0.0000 0.0000 0.0000 [3 per cell]
In1 0.0000 0.0000 0.2405 [3 per cell]
Ir1 0.0000 0.0000 0.4929 [3 per cell]
Ir2 0.0000 0.0000 0.7451 [3 per cell]


[10]
## TaInIr2 (PBE)

Data for a relaxed structure of TaInIr2.

Cell: 9.106 2.991 5.117 Å, 90.00 102.27 90.00°
Space group C2/m (No. 12)
One atom of each set of equivalent atoms:
Ta1 0.000 0.000 0.000 [2 per cell]
In1 0.000 0.500 0.500 [2 per cell]
Ir1 0.242 0.500 0.228 [4 per cell]


[11]
## Ta2InIr (PBE)

Data for a relaxed structure of Ta2InIr.

Cell: 7.618 7.618 5.559 Å, 90.00 90.00 90.00°
Space group I-42d (No. 122)
One atom of each set of equivalent atoms:
Ta1 0.201 0.750 0.125 [8 per cell]
In1 0.000 0.000 0.500 [4 per cell]
Ir1 0.000 0.000 0.000 [4 per cell]


[12]
## TaInIr2 (PBE)

Data for a relaxed structure of TaInIr2.

Cell: 2.912 2.912 7.986 Å, 90.00 90.00 90.00°
Space group P4mm (No. 99)
One atom of each set of equivalent atoms:
Ta1 0.000 0.000 0.000 [1 per cell]
In1 0.500 0.500 0.292 [1 per cell]
Ir1 0.000 0.000 0.533 [1 per cell]
Ir2 0.500 0.500 0.772 [1 per cell]


[13]
## Ta2InIr (PBE)

Data for a relaxed structure of Ta2InIr.

Cell: 2.921 4.143 5.830 Å, 90.00 90.68 90.00°
Space group P2/m (No. 10)
One atom of each set of equivalent atoms:
Ta1 0.008 0.000 0.267 [2 per cell]
In1 0.500 0.500 0.000 [1 per cell]
Ir1 0.500 0.500 0.500 [1 per cell]


[14]
## TaInIr2 (PBE)

Data for a relaxed structure of TaInIr2.

Cell: 2.966 2.966 7.603 Å, 90.00 90.00 90.00°
Space group P4/mmm (No. 123)
One atom of each set of equivalent atoms:
Ta1 0.000 0.000 0.000 [1 per cell]
In1 0.000 0.000 0.500 [1 per cell]
Ir1 0.500 0.500 0.238 [2 per cell]


[15]
## Ta3InIr (PBE)

Data for a relaxed structure of Ta3InIr.

Cell: 4.876 4.876 4.876 Å, 90.00 90.00 90.00°
Space group Pm-3m (No. 221)
One atom of each set of equivalent atoms:
Ta1 0.000 0.000 0.500 [3 per cell]
In1 0.500 0.500 0.500 [1 per cell]
Ir1 0.000 0.000 0.000 [1 per cell]

Results
Relative energy among the computed polymorphs, meV per atom: 0


[16]
## TaInIr2 (PBE)

Data for a relaxed structure of TaInIr2.

Cell: 2.953 3.744 6.059 Å, 90.00 90.09 90.00°
Space group P2/m (No. 10)
One atom of each set of equivalent atoms:
Ta1 0.000 0.000 0.000 [1 per cell]
In1 0.000 0.000 0.500 [1 per cell]
Ir1 0.499 0.500 0.764 [2 per cell]


[17]
## TbInIr (PBE)

Data for a relaxed structure of TbInIr.

Cell: 4.7080 4.7080 3.3794 Å, 90.00 90.00 120.00°
Space group P-6m2 (No. 187)
One atom of each set of equivalent atoms:
Tb1 0.0000 0.0000 0.0000 [1 per cell]
In1 0.3333 0.6667 0.5000 [1 per cell]
Ir1 0.6667 0.3333 0.5000 [1 per cell]


[18]
## Tb3InIr2 (PBE)

Data for a relaxed structure of Tb3InIr2.

Cell: 6.699 13.162 7.072 Å, 90.00 90.00 90.00°
Space group Ibam (No. 72)
One atom of each set of equivalent atoms:
Tb1 0.000 0.000 0.250 [4 per cell]
Tb2 0.000 0.278 0.250 [8 per cell]
In1 0.000 0.500 0.000 [4 per cell]
Ir1 0.205 0.138 0.000 [8 per cell]

Results
Relative energy among the computed polymorphs, meV per atom: 39


[19]
## Tb5In2Ir (PBE)

Data for a relaxed structure of Tb5In2Ir.

Cell: 7.367 12.426 4.806 Å, 90.00 90.00 90.00°
Space group Pbam (No. 55)
One atom of each set of equivalent atoms:
Tb1 0.000 0.000 0.000 [2 per cell]
Tb2 0.131 0.292 0.000 [4 per cell]
Tb3 0.179 0.578 0.500 [4 per cell]
In1 0.087 0.835 0.500 [4 per cell]
Ir1 0.000 0.500 0.000 [2 per cell]

Results
Relative energy among the computed polymorphs, meV per atom: 0


[20]
## TbInIr (PBE)

Data for a relaxed structure of TbInIr.

Cell: 7.411 4.126 12.821 Å, 90.00 91.25 90.00°
Space group P2_1/m (No. 11)
One atom of each set of equivalent atoms:
Tb1 0.042 0.250 0.121 [2 per cell]
Tb2 0.155 0.250 0.419 [2 per cell]
Tb3 0.448 0.750 0.784 [2 per cell]
In1 0.115 0.250 0.705 [2 per cell]
In2 0.359 0.750 0.044 [2 per cell]
In3 0.495 0.750 0.413 [2 per cell]
Ir1 0.249 0.250 0.913 [2 per cell]
Ir2 0.249 0.750 0.583 [2 per cell]
Ir3 0.252 0.750 0.248 [2 per cell]


It is found that the energy of formation values, taken in the order of the records, are -114, -192, -66, 307, -58, -277, 18, 58, 120, -103, 296, 30, -148, -392, 880, -361, -470, -648, -514, -676 meV/atom.